First-principles (PBE) data for an optimized crystal structure of TiV2H8, as listed in the Alexandria database.

Unit cell a=3.068 b=4.329 c=5.298 alpha=112.68 beta=106.83 gamma=90.00
Positions (direct):
H 0.658 0.885 0.316
H 0.330 0.568 0.660
H 0.148 0.083 0.297
H 0.010 0.295 0.019
H 0.852 0.917 0.703
H 0.342 0.115 0.684
H 0.670 0.432 0.340
H 0.990 0.705 0.981
V 0.832 0.309 0.665
V 0.168 0.691 0.335
Ti 0.500 0.000 0.000

The calculation puts the total energy at -4.934 eV per atom. The space-group type is No. 12. The value obtained for the density of states at the Fermi level is 0.40 states/eV/atom.